RbPdBrF2, relaxed, DFT PBE; total magnetic moment = 0.00 Bohr magnetons per cell; total DFT energy (no corrections) = -3.730 eV per atom; formation energy (no corrections) = -1.415 eV per atom
1.0
-3.4787 2.6186 -1.2491
-2.7851 -2.4676 2.5832
0.9130 3.0909 3.9370
Rb F Pd Br
1 2 1 1
Cartesian
-2.6754 1.6209 2.6356
-1.7394 1.3093 -0.6246
-1.3925 -1.2338 1.2916
0.0000 0.0000 0.0000
0.4565 1.5455 1.9685

RbPdBrF2, relaxed, DFT PBE; total magnetic moment = 0.00 Bohr magnetons per cell; total DFT energy (no corrections) = -3.884 eV per atom; formation energy (no corrections) = -1.569 eV per atom
1.0
3.8841 0.0000 0.0000
-1.9421 7.0748 0.0000
0.0000 0.0000 7.6367
F Rb Pd Br
4 2 2 2
Cartesian
0.0000 2.0177 4.0506
0.0000 2.0177 7.4044
1.9421 5.0571 3.5861
1.9421 5.0571 0.2323
1.9421 3.2512 5.7275
0.0000 3.8235 1.9092
0.0000 0.0000 0.0000
0.0000 0.0000 3.8184
0.0000 6.8404 5.7275
1.9421 0.2343 1.9092

PdSeBr2F, relaxed, DFT PBE; total magnetic moment = 0.57 Bohr magnetons per cell; total DFT energy (no corrections) = -2.601 eV per atom; formation energy (no corrections) = 0.178 eV per atom
1.0
-0.1747 -0.6374 5.1248
0.9448 -5.0452 -0.5953
4.7045 0.8496 0.2660
Br Se Pd F
2 1 1 1
Cartesian
0.4724 -2.5226 -0.2977
-0.0873 -0.3187 2.5624
2.3523 0.4248 0.1330
0.0000 0.0000 0.0000
2.7373 -2.4165 2.3978

PdSeBr2F, relaxed, DFT PBE; total magnetic moment = 2.26 Bohr magnetons per cell; total DFT energy (no corrections) = -2.367 eV per atom; formation energy (no corrections) = 0.412 eV per atom
1.0
5.5976 0.0000 0.0000
0.0000 5.5976 0.0000
0.0000 0.0000 3.8561
Se F Br Pd
1 1 2 1
Cartesian
0.0000 0.0000 1.9281
0.0000 0.0000 0.0000
0.0000 2.7988 0.0000
2.7988 0.0000 0.0000
2.7988 2.7988 1.9281

SrPdBr2F, relaxed, DFT PBE; total magnetic moment = 0.00 Bohr magnetons per cell; total DFT energy (no corrections) = -3.566 eV per atom; formation energy (no corrections) = -1.148 eV per atom
1.0
4.9156 0.0000 0.0000
0.0000 6.0943 0.0000
0.0000 0.0000 4.9156
Pd Br Sr F
1 2 1 1
Cartesian
0.0000 0.0000 0.0000
2.4578 0.0000 0.0000
0.0000 0.0000 2.4578
0.0000 3.0472 0.0000
2.4578 3.0472 2.4578

Ta2PdBrF, relaxed, DFT PBE; total magnetic moment = 0.00 Bohr magnetons per cell; total DFT energy (no corrections) = -5.147 eV per atom; formation energy (no corrections) = 1.342 eV per atom
1.0
4.7774 0.0000 0.0000
0.0000 4.6418 0.0000
0.0000 0.0000 4.7774
Ta Br F Pd
2 1 1 1
Cartesian
2.3887 0.0000 0.0000
0.0000 0.0000 2.3887
0.0000 0.0000 0.0000
2.3887 2.3209 2.3887
0.0000 2.3209 0.0000